1.
An optimized crystal structure of LiDyEr2Rh4. Source: Alexandria, functional PBE.

Output
Uncorrected energy ... -6.38 eV/atom
Formation energy from the elements ... -72 kJ/mol of atoms
Magnetization ... 0.00 μB/f.u.

Unit cell a=4.6820 b=4.6820 c=23.0230 alpha=90.00 beta=90.00 gamma=120.00
Space group R-3m (No. 166, hexagonal axes)
Unique sites:
Li: 0.0000 0.0000 0.0000 x3
Dy: 0.0000 0.0000 0.5000 x3
Er: 0.0000 0.0000 0.2580 x6
Rh: 0.0000 0.0000 0.1236 x6
Rh: 0.0000 0.0000 0.3767 x6

2.
An optimized crystal structure of LiDyErS3. Source: Alexandria, functional PBE.

Output
Raw formation energy ... -10.78 eV/f.u.
Uncorrected energy ... -5.71 eV/atom
Magnetization ... 0.00 μB/f.u.

Unit cell a=7.958 b=3.772 c=8.298 alpha=90.00 beta=102.35 gamma=90.00
Space group P2_1/m (No. 11)
Unique sites:
Li: 0.088 0.250 0.083 x2
Dy: 0.186 0.250 0.720 x2
Er: 0.338 0.750 0.333 x2
S: 0.094 0.250 0.369 x2
S: 0.219 0.750 0.993 x2
S: 0.422 0.750 0.671 x2

3.
An optimized crystal structure of LiDy4ErS8. Source: Alexandria, functional PBE.

Output
Raw formation energy ... -27.62 eV/f.u.
Uncorrected energy ... -6.11 eV/atom
Magnetization ... 0.00 μB/f.u.

Unit cell a=8.0053 b=8.0053 c=19.5343 alpha=90.00 beta=90.00 gamma=120.00
Space group R3m (No. 160, hexagonal axes)
Unique sites:
Li: 0.0000 0.0000 0.0000 x3
Dy: 0.0000 0.0000 0.7501 x3
Dy: 0.0122 0.5061 0.8763 x9
Er: 0.0000 0.0000 0.3701 x3
S: 0.0000 0.0000 0.1312 x3
S: 0.0000 0.0000 0.6164 x3
S: 0.0241 0.5121 0.1269 x9
S: 0.1759 0.3518 0.9566 x9

4.
An optimized crystal structure of LiDyEr4S8. Source: Alexandria, functional PBE.

Output
Raw formation energy ... -27.64 eV/f.u.
Uncorrected energy ... -6.10 eV/atom
Magnetization ... 0.00 μB/f.u.

Unit cell a=7.9429 b=7.9429 c=19.5300 alpha=90.00 beta=90.00 gamma=120.00
Space group R3m (No. 160, hexagonal axes)
Unique sites:
Li: 0.0000 0.0000 0.0000 x3
Dy: 0.0000 0.0000 0.3706 x3
Er: 0.0000 0.0000 0.7498 x3
Er: 0.0125 0.5062 0.8767 x9
S: 0.0000 0.0000 0.1319 x3
S: 0.0000 0.0000 0.6166 x3
S: 0.0211 0.5106 0.1286 x9
S: 0.1749 0.3499 0.9556 x9